The following is a PBE calculation of crystalline TaZn2As at its relaxed geometry, from the Alexandria database.

Lattice parameters (Å, degrees): 4.8170 2.7824 5.0728 77.01 90.00 90.00
Atoms (fractional coordinates):
Zn 0.0000 0.1716 0.9961
Zn 0.0000 0.3284 0.5039
As 0.5000 0.2500 0.2500
Ta 0.5000 0.7500 0.7500

Computed properties:
Space group: P2/m, No. 10
Energy relative to the elements in eV/atom: 0.092
DOS at the Fermi energy in states/eV per cell: 1.74
Total DFT energy (no corrections) in eV for the cell shown: -18.7